The following is a DFT calculation (GGA+U) of an optimized crystal structure of Mn2V3Ag3O12.

a = 11.0001 Å, b = 11.0001 Å, c = 11.0001 Å
α = 109.47°, β = 109.47°, γ = 109.47°
With the nearest neighbours (Å) after each atom.
Atoms (fractional coordinates):
V: 0.2500 0.6250 0.3750  4 O 1.76
O: 0.9943 0.8022 0.8929  1 V 1.76
O: 0.1071 0.6015 0.9093  1 V 1.76
O: 0.8929 0.9943 0.8022  1 V 1.76
Mn: 0.0000 0.5000 0.0000  6 O 2.07
Ag: 0.1250 0.3750 0.7500  8 O 2.55-2.64
O: 0.6071 0.4093 0.1015  1 V 1.76
O: 0.1071 0.0057 0.1978  1 V 1.76
O: 0.3022 0.3078 0.9093  1 V 1.76
O: 0.8078 0.5057 0.3985  1 V 1.76
Mn: 0.5000 0.0000 0.0000  6 O 2.07
O: 0.6978 0.6922 0.0907  1 V 1.76
O: 0.4093 0.1015 0.6071  1 V 1.76
Mn: 0.0000 0.0000 0.0000  6 O 2.07
Ag: 0.3750 0.7500 0.1250  8 O 2.55-2.64
Mn: 0.5000 0.0000 0.5000  6 O 2.07
Ag: 0.1250 0.2500 0.3750  8 O 2.55-2.64
Mn: 0.0000 0.0000 0.5000  6 O 2.07
O: 0.3929 0.5907 0.8985  1 V 1.76
O: 0.1922 0.4943 0.6015  1 V 1.76
Mn: 0.5000 0.5000 0.0000  6 O 2.07
Ag: 0.7500 0.1250 0.3750  8 O 2.55-2.64
Ag: 0.6250 0.2500 0.8750  8 O 2.55-2.64
O: 0.0057 0.1978 0.1071  1 V 1.76
V: 0.6250 0.3750 0.2500  4 O 1.76
O: 0.3078 0.9093 0.3022  1 V 1.76
O: 0.4943 0.6015 0.1922  1 V 1.76
O: 0.3022 0.4943 0.3929  1 V 1.76
O: 0.3985 0.0907 0.8929  1 V 1.76
O: 0.4093 0.8078 0.8022  1 V 1.76
O: 0.8078 0.8022 0.4093  1 V 1.76
O: 0.5057 0.6071 0.6978  1 V 1.76
O: 0.3985 0.8078 0.5057  1 V 1.76
V: 0.7500 0.3750 0.6250  4 O 1.76
Ag: 0.6250 0.8750 0.7500  8 O 2.55-2.64
O: 0.5057 0.3985 0.8078  1 V 1.76
O: 0.9943 0.6922 0.1015  1 V 1.76
O: 0.6922 0.1015 0.9943  1 V 1.76
Ag: 0.2500 0.8750 0.6250  8 O 2.55-2.64
O: 0.0057 0.3078 0.8985  1 V 1.76
Mn: 0.0000 0.5000 0.5000  6 O 2.07
Ag: 0.8750 0.6250 0.2500  8 O 2.55-2.64
O: 0.3929 0.3022 0.4943  1 V 1.76
O: 0.9093 0.1071 0.6015  1 V 1.76
O: 0.0907 0.6978 0.6922  1 V 1.76
O: 0.3078 0.8985 0.0057  1 V 1.76
V: 0.8750 0.2500 0.1250  4 O 1.76
V: 0.2500 0.1250 0.8750  4 O 1.76
Ag: 0.3750 0.1250 0.2500  8 O 2.55-2.64
O: 0.5907 0.8985 0.3929  1 V 1.76
Mn: 0.5000 0.5000 0.5000  6 O 2.07
O: 0.6015 0.9093 0.1071  1 V 1.76
O: 0.5907 0.1922 0.1978  1 V 1.76
O: 0.8022 0.8929 0.9943  1 V 1.76
V: 0.7500 0.8750 0.1250  4 O 1.76
Ag: 0.8750 0.7500 0.6250  8 O 2.55-2.64
V: 0.3750 0.2500 0.6250  4 O 1.76
O: 0.1978 0.5907 0.1922  1 V 1.76
Ag: 0.7500 0.6250 0.8750  8 O 2.55-2.64
O: 0.1015 0.6071 0.4093  1 V 1.76
O: 0.0907 0.8929 0.3985  1 V 1.76
O: 0.1922 0.1978 0.5907  1 V 1.76
V: 0.6250 0.7500 0.3750  4 O 1.76
V: 0.1250 0.8750 0.2500  4 O 1.76
V: 0.3750 0.6250 0.7500  4 O 1.76
O: 0.6071 0.6978 0.5057  1 V 1.76
V: 0.1250 0.7500 0.8750  4 O 1.76
O: 0.9093 0.3022 0.3078  1 V 1.76
O: 0.1015 0.9943 0.6922  1 V 1.76
O: 0.6922 0.0907 0.6978  1 V 1.76
O: 0.6015 0.1922 0.4943  1 V 1.76
O: 0.4943 0.3929 0.3022  1 V 1.76
Ag: 0.2500 0.3750 0.1250  8 O 2.55-2.64
O: 0.8929 0.3985 0.0907  1 V 1.76
O: 0.1978 0.1071 0.0057  1 V 1.76
O: 0.6978 0.5057 0.6071  1 V 1.76
O: 0.8985 0.3929 0.5907  1 V 1.76
V: 0.8750 0.1250 0.7500  4 O 1.76
O: 0.8985 0.0057 0.3078  1 V 1.76
O: 0.8022 0.4093 0.8078  1 V 1.76

Output
Electronic total energy in eV per formula unit: -132.096
Symmetry: Ia-3d